# GGA-PBE Ac2Sn9Pb, relaxed
# Total DFT energy (no corrections), eV per atom: -4.295
# Mass density, kg/m3: 8115
data_Ac2Sn9Pb
_chemical_formula_sum 'Ac2 Sn9 Pb1'
_space_group_name_H-M_alt 'P 4/m m m'
_space_group_IT_number 123
_space_group_name_Hall '-P 4 2'
_cell_length_a 4.953
_cell_length_b 4.953
_cell_length_c 14.429
_cell_angle_alpha 90.00
_cell_angle_beta 90.00
_cell_angle_gamma 90.00
loop_
_atom_site_label
_atom_site_fract_x
_atom_site_fract_y
_atom_site_fract_z
Ac1 0.000 0.000 0.166
Sn1 0.000 0.500 0.000
Sn2 0.000 0.500 0.342
Sn3 0.500 0.500 0.169
Sn4 0.500 0.500 0.500
Pb1 0.000 0.000 0.500